# TbEr2In

A relaxed structure of TbEr2In (GGA-PBE, Alexandria via LeMat-Bulk).

## Properties
* crystal system: cubic
* formation energy from the elements: -0.1025 eV/atom
* symmetry: No. 225
* excess energy over the best structure of this formula in the dataset: 0.162 eV per atom

Cell lengths 5.4195, 5.4195, 5.4195 Å; angles 60.00, 60.00, 60.00 degrees
Fractional positions:
Tb  0.0000  0.0000  0.0000
Er  0.2500  0.2500  0.2500
Er  0.7500  0.7500  0.7500
In  0.5000  0.5000  0.5000